Record 1
# TaTeS4

A relaxed structure of TaTeS4 (GGA-PBE, Alexandria via LeMat-Bulk).

Results
Energy   -5.608 eV/atom
Uncorrected formation energy   -2.1 eV/f.u.
Symmetry   No. 12

a = 4.641 Å, b = 9.804 Å, c = 8.812 Å
α = 99.57°, β = 90.00°, γ = 103.69°
Positions (direct):
S 0.090 0.181 0.436
S 0.867 0.734 0.907
S 0.727 0.454 0.382
S 0.326 0.652 0.240
S 0.674 0.348 0.760
S 0.133 0.266 0.093
S 0.910 0.819 0.564
S 0.273 0.546 0.618
Te 0.887 0.774 0.287
Te 0.113 0.226 0.713
Ta 0.802 0.604 0.677
Ta 0.198 0.396 0.323


Record 2
# SiTcSb2

A relaxed structure of SiTcSb2 (GGA-PBE, Alexandria via LeMat-Bulk).

Results
Energy   -5.533 eV/atom
Uncorrected formation energy   1.9 eV/f.u.
Symmetry   No. 12

a = 4.786 Å, b = 4.786 Å, c = 5.359 Å
α = 80.98°, β = 80.98°, γ = 41.52°
Positions (direct):
Si 0.750 0.750 0.750
Tc 0.250 0.250 0.250
Sb 0.980 0.980 0.020
Sb 0.520 0.520 0.480


Record 3
# UAsRh3

A relaxed structure of UAsRh3 (GGA-PBE, Alexandria via LeMat-Bulk).

Results
Calculated formation energy   -2.5 eV per formula unit
Energy   -8.098 eV/atom
Symmetry   No. 62

a = 3.951 Å, b = 8.399 Å, c = 10.259 Å
α = 90.00°, β = 90.00°, γ = 90.00°
Site moments in Bohr magnetons follow the coordinates.
Positions (direct):
U 0.250 0.173 0.999  1.70
U 0.750 0.827 0.001  1.70
U 0.750 0.327 0.499  1.70
U 0.250 0.673 0.501  1.70
Rh 0.750 0.116 0.200  -0.07
Rh 0.250 0.384 0.700  -0.07
Rh 0.750 0.437 0.911  -0.04
Rh 0.250 0.063 0.411  -0.04
Rh 0.750 0.133 0.819  -0.11
Rh 0.250 0.563 0.089  -0.04
Rh 0.250 0.867 0.181  -0.11
Rh 0.250 0.884 0.800  -0.07
Rh 0.250 0.367 0.319  -0.11
Rh 0.750 0.633 0.681  -0.11
Rh 0.750 0.937 0.589  -0.04
Rh 0.750 0.616 0.300  -0.07
As 0.250 0.104 0.646  0.01
As 0.750 0.896 0.354  0.01
As 0.250 0.604 0.854  0.01
As 0.750 0.396 0.146  0.01


Record 4
# MnZn3Au4

A relaxed structure of MnZn3Au4 (GGA-PBE, Alexandria via LeMat-Bulk).

Results
Calculated formation energy   -1.3 eV per formula unit
Energy   -3.430 eV/atom
Excess energy over the best structure of this formula in the dataset   0.18 kcal/mol of atoms
Symmetry   No. 123

a = 3.210 Å, b = 3.210 Å, c = 12.679 Å
α = 90.00°, β = 90.00°, γ = 90.00°
Site moments in Bohr magnetons follow the coordinates.
Positions (direct):
Mn 0.500 0.500 0.000  3.88
Au 0.000 0.000 0.624  0.00
Au 0.000 0.000 0.127  0.02
Au 0.000 0.000 0.873  0.02
Au 0.000 0.000 0.376  0.00
Zn 0.500 0.500 0.250  -0.01
Zn 0.500 0.500 0.500  0.00
Zn 0.500 0.500 0.750  -0.01


Record 5
# Cs2PrAuO4

A relaxed structure of Cs2PrAuO4 (GGA-PBE, Alexandria via LeMat-Bulk).

Results
Energy   -4.995 eV/atom
Uncorrected formation energy   -10.4 eV/f.u.
Symmetry   No. 70

a = 6.437 Å, b = 8.123 Å, c = 12.526 Å
α = 84.16°, β = 75.11°, γ = 66.66°
Positions (direct):
Au 0.500 0.000 0.000
Au 0.250 0.500 0.500
O 0.627 0.196 0.002
O 0.825 0.804 0.998
O 0.123 0.304 0.498
O 0.379 0.696 0.498
O 0.573 0.304 0.502
O 0.177 0.196 0.998
O 0.371 0.804 0.002
O 0.925 0.696 0.502
Cs 0.563 0.500 0.874
Cs 0.813 0.000 0.374
Cs 0.187 0.000 0.626
Cs 0.937 0.500 0.126
Pr 0.750 0.500 0.500
Pr 0.000 0.000 0.000


Record 6
# RbHg3Bi

A relaxed structure of RbHg3Bi (GGA-PBE, Alexandria via LeMat-Bulk).

Results
Calculated formation energy   -0.9 eV per formula unit
Energy   -1.336 eV/atom
Excess energy over the best structure of this formula in the dataset   0.00 kcal/mol of atoms
Symmetry   No. 63

a = 7.095 Å, b = 7.095 Å, c = 7.453 Å
α = 90.00°, β = 90.00°, γ = 66.72°
Positions (direct):
Hg 0.544 0.219 0.802
Hg 0.175 0.377 0.552
Hg 0.544 0.219 0.302
Hg 0.017 0.747 0.802
Hg 0.386 0.588 0.052
Hg 0.017 0.747 0.302
Bi 0.923 0.126 0.552
Bi 0.638 0.840 0.052
Rb 0.044 0.247 0.052
Rb 0.516 0.719 0.552


Record 7
# Pr5YSb4

A relaxed structure of Pr5YSb4 (GGA-PBE, Alexandria via LeMat-Bulk).

Results
Energy   -5.487 eV/atom
Uncorrected formation energy   -8.0 eV/f.u.
Symmetry   No. 12

a = 4.428 Å, b = 8.749 Å, c = 9.906 Å
α = 104.59°, β = 102.91°, γ = 90.00°
Positions (direct):
Pr 0.500 0.500 0.000
Pr 0.827 0.653 0.655
Pr 0.165 0.829 0.330
Pr 0.835 0.171 0.670
Pr 0.173 0.347 0.345
Sb 0.005 0.248 0.010
Sb 0.334 0.913 0.667
Sb 0.995 0.752 0.990
Sb 0.666 0.087 0.333
Y 0.500 0.000 0.000


Record 8
# AlTe3O

A relaxed structure of AlTe3O (GGA-PBE, Alexandria via LeMat-Bulk).

Results
Energy   -3.440 eV/atom
Uncorrected formation energy   0.9 eV/f.u.
Excess energy over the best structure of this formula in the dataset   0.00 kcal/mol of atoms
Symmetry   No. 221

a = 4.853 Å, b = 4.853 Å, c = 4.853 Å
α = 90.00°, β = 90.00°, γ = 90.00°
Positions (direct):
Te 0.000 0.000 0.500
Te 0.000 0.500 0.000
Te 0.500 0.000 0.000
O 0.000 0.000 0.000
Al 0.500 0.500 0.500


Record 9
# Gd2FeAu

A relaxed structure of Gd2FeAu (GGA-PBE, Alexandria via LeMat-Bulk).

Results
Calculated formation energy   -1.4 eV per formula unit
Energy   -10.321 eV/atom
Symmetry   No. 123

a = 3.496 Å, b = 3.496 Å, c = 7.199 Å
α = 90.00°, β = 90.00°, γ = 90.00°
Site moments in Bohr magnetons follow the coordinates.
Positions (direct):
Gd 0.000 0.000 0.770  -7.24
Gd 0.000 0.000 0.230  -7.24
Au 0.500 0.500 0.500  0.00
Fe 0.500 0.500 0.000  1.91


Record 10
# Co2CuCl

A relaxed structure of Co2CuCl (GGA-PBE, Alexandria via LeMat-Bulk).

Results
Energy   -4.596 eV/atom
Uncorrected formation energy   1.8 eV/f.u.
Excess energy over the best structure of this formula in the dataset   5.41 kcal/mol of atoms
Symmetry   No. 44

a = 5.997 Å, b = 5.997 Å, c = 5.997 Å
α = 153.00°, β = 141.61°, γ = 47.56°
Site moments in Bohr magnetons follow the coordinates.
Positions (direct):
Co 0.834 0.334 0.500  1.93
Co 0.011 0.011 0.000  1.68
Cl 0.193 0.693 0.500  0.08
Cu 0.462 0.462 0.000  0.11


Record 11
# Cs5Te2HO

A relaxed structure of Cs5Te2HO (GGA-PBE, Alexandria via LeMat-Bulk).

Results
Energy   -3.138 eV/atom
Symmetry   No. 107

a = 8.111 Å, b = 8.111 Å, c = 8.111 Å
α = 96.12°, β = 116.53°, γ = 116.53°
Positions (direct):
Cs 0.000 0.736 0.229
Cs 0.507 0.736 0.736
Cs 0.493 0.229 0.229
Cs 0.000 0.229 0.736
Cs 0.000 0.231 0.231
H 0.000 0.891 0.891
O 0.000 0.981 0.981
Te 0.500 0.234 0.734
Te 0.500 0.734 0.234


Record 12
# UZnFe

A relaxed structure of UZnFe (GGA-PBE, Alexandria via LeMat-Bulk).

Results
Calculated formation energy   -0.4 eV per formula unit
Energy   -7.132 eV/atom
Symmetry   No. 12

a = 4.473 Å, b = 5.742 Å, c = 4.506 Å
α = 73.02°, β = 90.01°, γ = 67.08°
Site moments in Bohr magnetons follow the coordinates.
Positions (direct):
Fe 0.194 0.617 0.312  -0.38
Fe 0.810 0.386 0.693  -0.38
Zn 0.424 0.158 0.703  -0.01
Zn 0.581 0.845 0.302  -0.01
U 0.881 0.245 0.191  1.09
U 0.124 0.759 0.814  1.09